# Ti4AlAu

An optimized crystal structure of Ti4AlAu (PBE-GGA, the Alexandria database).

extended XYZ file:
```
24
Lattice="-0.810 2.625 -0.429 -3.670 0.011 6.991 15.374 6.060 8.061" Properties=species:S:1:pos:R:3 pbc="T T T"
Ti -0.342 2.462 6.698
Ti 11.237 6.234 7.925
Ti 3.391 3.204 4.198
Ti 7.504 5.491 10.425
Ti -2.853 1.707 6.822
Ti 13.748 6.988 7.801
Ti 4.716 3.962 6.333
Ti 6.179 4.733 8.290
Ti 3.525 3.992 8.762
Ti 7.369 4.703 5.861
Ti -0.507 1.674 2.190
Ti 11.401 7.021 12.433
Ti 0.969 3.207 8.785
Ti 9.926 5.488 5.837
Ti 0.927 2.462 4.306
Ti 9.967 6.233 10.317
Al 2.604 1.905 6.739
Al 9.100 4.166 8.313
Al 2.494 1.133 2.224
Al 9.210 4.938 12.828
Au -1.146 0.425 4.765
Au 12.850 5.645 10.287
Au 6.250 2.612 4.186
Au 5.454 3.458 10.866
```

Summary:
ρ = 6.8 g/cm³
DFT formation energy = -125 meV per atom
Polymorph energy (0 for the lowest one) = 132 meV/atom
N(E_F) = 7.44 states/eV/f.u.

***

# TiAl2Au2

An optimized crystal structure of TiAl2Au2 (PBE-GGA, the Alexandria database).

extended XYZ file:
```
10
Lattice="-7.137 -0.791 2.032 2.092 -0.520 7.145 -0.254 3.053 0.297" Properties=species:S:1:pos:R:3 pbc="T T T"
Au -0.800 -0.740 6.931
Au -4.854 -1.015 6.290
Au -4.245 -0.571 2.246
Au -0.191 -0.296 2.887
Al 0.070 1.046 5.266
Al -3.157 0.565 7.449
Al -5.369 0.696 4.208
Al -2.142 1.177 2.025
Ti 0.000 0.000 0.000
Ti -2.523 -0.656 4.589
```

Summary:
ρ = 9.6 g/cm³
DFT formation energy = -270 meV per atom
Polymorph energy (0 for the lowest one) = 6 meV/atom
N(E_F) = 3.04 states/eV/f.u.

***

# TiAlAu

An optimized crystal structure of TiAlAu (PBE-GGA, the Alexandria database).

extended XYZ file:
```
6
Lattice="-2.758 -0.497 2.745 -2.645 -0.759 -2.795 1.536 -6.624 0.345" Properties=species:S:1:pos:R:3 pbc="T T T"
Au -0.157 -5.408 -1.136
Au -1.009 -1.844 1.456
Al 0.768 -3.312 0.173
Al -1.934 -3.940 0.147
Ti -1.096 -1.355 -1.347
Ti -0.069 -5.897 1.667
```

Summary:
ρ = 8.6 g/cm³
DFT formation energy = -331 meV per atom
N(E_F) = 3.02 states/eV/f.u.

***

# TiAlAu3

An optimized crystal structure of TiAlAu3 (PBE-GGA, the Alexandria database).

extended XYZ file:
```
5
Lattice="4.723 0.000 0.000 0.000 4.723 0.000 0.000 0.000 4.723" Properties=species:S:1:pos:R:3 pbc="T T T"
Au 0.000 2.362 0.000
Au 0.000 0.000 2.362
Au 2.362 0.000 0.000
Al 0.000 0.000 0.000
Ti 2.362 2.362 2.362
```

Summary:
ρ = 10.5 g/cm³
DFT formation energy = 369 meV per atom
Polymorph energy (0 for the lowest one) = 732 meV/atom
N(E_F) = 10.38 states/eV/f.u.

***

# Ti2AlAu3

An optimized crystal structure of Ti2AlAu3 (PBE-GGA, the Alexandria database).

extended XYZ file:
```
12
Lattice="-1.949 -3.838 1.231 -2.468 -3.244 -5.849 5.897 -3.219 -0.702" Properties=species:S:1:pos:R:3 pbc="T T T"
Ti 0.000 0.000 0.000
Ti 2.948 -1.610 -0.351
Ti 1.499 -3.950 -1.791
Ti -0.019 -6.351 -3.529
Al -1.463 -2.353 -1.501
Al 2.944 -7.948 -3.819
Au 2.028 -6.749 -1.537
Au -2.071 -5.911 -5.397
Au -0.548 -3.552 -3.783
Au -1.061 -5.063 -1.169
Au 2.541 -5.238 -4.151
Au 3.551 -4.390 0.077
```

Summary:
ρ = 11.6 g/cm³
DFT formation energy = -394 meV per atom
N(E_F) = 4.01 states/eV/f.u.

***

# TiAlAu

An optimized crystal structure of TiAlAu (PBE-GGA, the Alexandria database).

extended XYZ file:
```
6
Lattice="4.447 0.000 0.000 -2.224 3.851 0.000 0.000 0.000 5.795" Properties=species:S:1:pos:R:3 pbc="T T T"
Au 2.224 1.284 1.449
Au 0.000 2.568 4.346
Al 0.000 2.568 1.449
Al 2.224 1.284 4.346
Ti 0.000 0.000 0.000
Ti 0.000 0.000 2.897
```

Summary:
ρ = 9.1 g/cm³
DFT formation energy = -499 meV per atom
N(E_F) = 2.62 states/eV/f.u.